(1)
# Pm10ErTh4, optimized geometry, DFT GGA-PBE
data_Pm10ErTh4
_chemical_formula_sum 'Pm10 Er1 Th4'
_symmetry_space_group_name_H-M 'P 1'
_symmetry_Int_Tables_number 1
_cell_length_a 8.800
_cell_length_b 8.800
_cell_length_c 8.800
_cell_angle_alpha 111.92
_cell_angle_beta 111.92
_cell_angle_gamma 104.67
loop_
_symmetry_equiv_pos_as_xyz
'x,y,z'
loop_
_atom_site_label
_atom_site_type_symbol
_atom_site_fract_x
_atom_site_fract_y
_atom_site_fract_z
_atom_site_occupancy
Pm1 Pm 0.042 0.948 0.672 1
Pm2 Pm 0.052 0.724 0.093 1
Pm3 Pm 0.250 0.750 0.500 1
Pm4 Pm 0.276 0.369 0.328 1
Pm5 Pm 0.369 0.042 0.093 1
Pm6 Pm 0.631 0.958 0.907 1
Pm7 Pm 0.724 0.631 0.672 1
Pm8 Pm 0.750 0.250 0.500 1
Pm9 Pm 0.948 0.276 0.907 1
Pm10 Pm 0.958 0.052 0.328 1
Er1 Er 0.500 0.500 0.000 1
Th1 Th 0.166 0.559 0.725 1
Th2 Th 0.441 0.166 0.607 1
Th3 Th 0.559 0.834 0.393 1
Th4 Th 0.834 0.441 0.275 1
# Mass density: 8.1 g/cm³

(2)
# PmEr12Th7, optimized geometry, DFT GGA-PBE
data_PmEr12Th7
_chemical_formula_sum 'Pm1 Er12 Th7'
_symmetry_space_group_name_H-M 'P 1'
_symmetry_Int_Tables_number 1
_cell_length_a 8.678
_cell_length_b 8.678
_cell_length_c 8.678
_cell_angle_alpha 86.46
_cell_angle_beta 86.46
_cell_angle_gamma 86.46
loop_
_symmetry_equiv_pos_as_xyz
'x,y,z'
loop_
_atom_site_label
_atom_site_type_symbol
_atom_site_fract_x
_atom_site_fract_y
_atom_site_fract_z
_atom_site_occupancy
Pm1 Pm 0.000 0.000 0.000 1
Er1 Er 0.133 0.496 0.623 1
Er2 Er 0.143 0.740 0.277 1
Er3 Er 0.260 0.723 0.857 1
Er4 Er 0.277 0.143 0.740 1
Er5 Er 0.377 0.867 0.504 1
Er6 Er 0.496 0.623 0.133 1
Er7 Er 0.504 0.377 0.867 1
Er8 Er 0.623 0.133 0.496 1
Er9 Er 0.723 0.857 0.260 1
Er10 Er 0.740 0.277 0.143 1
Er11 Er 0.857 0.260 0.723 1
Er12 Er 0.867 0.504 0.377 1
Th1 Th 0.079 0.155 0.394 1
Th2 Th 0.155 0.394 0.079 1
Th3 Th 0.394 0.079 0.155 1
Th4 Th 0.500 0.500 0.500 1
Th5 Th 0.606 0.921 0.845 1
Th6 Th 0.845 0.606 0.921 1
Th7 Th 0.921 0.845 0.606 1
# Mass density: 9.6 g/cm³

(3)
# Pm4Er8Th, optimized geometry, DFT GGA-PBE
data_Pm4Er8Th
_chemical_formula_sum 'Pm4 Er8 Th1'
_symmetry_space_group_name_H-M 'P 1'
_symmetry_Int_Tables_number 1
_cell_length_a 7.761
_cell_length_b 7.761
_cell_length_c 7.761
_cell_angle_alpha 90.04
_cell_angle_beta 90.04
_cell_angle_gamma 90.04
loop_
_symmetry_equiv_pos_as_xyz
'x,y,z'
loop_
_atom_site_label
_atom_site_type_symbol
_atom_site_fract_x
_atom_site_fract_y
_atom_site_fract_z
_atom_site_occupancy
Pm1 Pm 0.000 0.000 0.000 1
Pm2 Pm 0.000 0.500 0.500 1
Pm3 Pm 0.500 0.000 0.500 1
Pm4 Pm 0.500 0.500 0.000 1
Er1 Er 0.241 0.241 0.241 1
Er2 Er 0.241 0.241 0.759 1
Er3 Er 0.241 0.759 0.241 1
Er4 Er 0.241 0.759 0.759 1
Er5 Er 0.759 0.241 0.241 1
Er6 Er 0.759 0.241 0.759 1
Er7 Er 0.759 0.759 0.241 1
Er8 Er 0.759 0.759 0.759 1
Th1 Th 0.500 0.500 0.500 1
# Mass density: 7.6 g/cm³

(4)
# PmEr6Th2, optimized geometry, DFT GGA-PBE
data_PmEr6Th2
_chemical_formula_sum 'Pm1 Er6 Th2'
_symmetry_space_group_name_H-M 'P 1'
_symmetry_Int_Tables_number 1
_cell_length_a 3.554
_cell_length_b 3.554
_cell_length_c 26.209
_cell_angle_alpha 90.00
_cell_angle_beta 90.00
_cell_angle_gamma 120.00
loop_
_symmetry_equiv_pos_as_xyz
'x,y,z'
loop_
_atom_site_label
_atom_site_type_symbol
_atom_site_fract_x
_atom_site_fract_y
_atom_site_fract_z
_atom_site_occupancy
Pm1 Pm 0.000 0.000 0.000 1
Er1 Er 0.000 0.000 0.218 1
Er2 Er 0.000 0.000 0.437 1
Er3 Er 0.000 0.000 0.563 1
Er4 Er 0.000 0.000 0.782 1
Er5 Er 0.333 0.667 0.112 1
Er6 Er 0.333 0.667 0.888 1
Th1 Th 0.333 0.667 0.330 1
Th2 Th 0.333 0.667 0.670 1
# Mass density: 9.3 g/cm³
# Energy above the most stable polymorph in this dataset: 0.000 eV/atom

(5)
# Pm12Er7Th, optimized geometry, DFT GGA-PBE
data_Pm12Er7Th
_chemical_formula_sum 'Pm12 Er7 Th1'
_symmetry_space_group_name_H-M 'P 1'
_symmetry_Int_Tables_number 1
_cell_length_a 8.752
_cell_length_b 8.752
_cell_length_c 8.752
_cell_angle_alpha 89.71
_cell_angle_beta 89.71
_cell_angle_gamma 89.71
loop_
_symmetry_equiv_pos_as_xyz
'x,y,z'
loop_
_atom_site_label
_atom_site_type_symbol
_atom_site_fract_x
_atom_site_fract_y
_atom_site_fract_z
_atom_site_occupancy
Pm1 Pm 0.001 0.121 0.646 1
Pm2 Pm 0.121 0.646 0.001 1
Pm3 Pm 0.223 0.765 0.629 1
Pm4 Pm 0.235 0.371 0.777 1
Pm5 Pm 0.354 0.999 0.879 1
Pm6 Pm 0.371 0.777 0.235 1
Pm7 Pm 0.629 0.223 0.765 1
Pm8 Pm 0.646 0.001 0.121 1
Pm9 Pm 0.765 0.629 0.223 1
Pm10 Pm 0.777 0.235 0.371 1
Pm11 Pm 0.879 0.354 0.999 1
Pm12 Pm 0.999 0.879 0.354 1
Er1 Er 0.000 0.000 0.000 1
Er2 Er 0.121 0.443 0.350 1
Er3 Er 0.350 0.121 0.443 1
Er4 Er 0.443 0.350 0.121 1
Er5 Er 0.557 0.650 0.879 1
Er6 Er 0.650 0.879 0.557 1
Er7 Er 0.879 0.557 0.650 1
Th1 Th 0.500 0.500 0.500 1
# Mass density: 7.8 g/cm³
# Energy above the most stable polymorph in this dataset: 0.000 eV/atom

(6)
# Pm12Er7Th, optimized geometry, DFT GGA-PBE
data_Pm12Er7Th
_chemical_formula_sum 'Pm12 Er7 Th1'
_symmetry_space_group_name_H-M 'P 1'
_symmetry_Int_Tables_number 1
_cell_length_a 11.541
_cell_length_b 11.541
_cell_length_c 11.541
_cell_angle_alpha 116.86
_cell_angle_beta 116.86
_cell_angle_gamma 116.86
loop_
_symmetry_equiv_pos_as_xyz
'x,y,z'
loop_
_atom_site_label
_atom_site_type_symbol
_atom_site_fract_x
_atom_site_fract_y
_atom_site_fract_z
_atom_site_occupancy
Pm1 Pm 0.040 0.393 0.395 1
Pm2 Pm 0.086 0.498 0.911 1
Pm3 Pm 0.089 0.914 0.502 1
Pm4 Pm 0.393 0.395 0.040 1
Pm5 Pm 0.395 0.040 0.393 1
Pm6 Pm 0.498 0.911 0.086 1
Pm7 Pm 0.502 0.089 0.914 1
Pm8 Pm 0.605 0.960 0.607 1
Pm9 Pm 0.607 0.605 0.960 1
Pm10 Pm 0.911 0.086 0.498 1
Pm11 Pm 0.914 0.502 0.089 1
Pm12 Pm 0.960 0.607 0.605 1
Er1 Er 0.147 0.394 0.149 1
Er2 Er 0.149 0.147 0.394 1
Er3 Er 0.394 0.149 0.147 1
Er4 Er 0.500 0.500 0.500 1
Er5 Er 0.606 0.851 0.853 1
Er6 Er 0.851 0.853 0.606 1
Er7 Er 0.853 0.606 0.851 1
Th1 Th 0.000 0.000 0.000 1
# Mass density: 7.5 g/cm³
# Energy above the most stable polymorph in this dataset: 0.060 eV/atom

no.,energy (eV/f.u.),D(E_F) (states/eV/cell),energy relative to the elements (eV per atom)
1,-76.2,24.1,0.372
2,-106.0,34.7,0.272
3,-56.2,24.1,0.520
4,-46.3,18.5,0.077
5,-91.8,35.6,0.228
6,-90.6,33.2,0.288